The following is a DFT calculation (PBE) of a relaxed Sc2ZnIr crystal.

The structure in POSCAR format:
```
Sc2ZnIr
1.0
1.655 1.788 3.080
-3.803 -0.973 0.105
3.041 -11.351 4.957
Ir Sc Zn
2 4 2
Direct
0.000 0.000 0.000 Ir
0.000 0.000 0.500 Ir
0.667 0.333 0.103 Sc
0.667 0.333 0.397 Sc
0.333 0.667 0.603 Sc
0.333 0.667 0.897 Sc
0.333 0.667 0.250 Zn
0.667 0.333 0.750 Zn
```

Properties
Size of the total moment (μB/cell): 0.00
Excess energy over the best structure of this formula in the dataset (meV per atom): 382

---

The following is a DFT calculation (PBE) of a relaxed AcTbNO crystal.

The structure in POSCAR format:
```
AcTbNO
1.0
-0.873 -3.015 -6.296
-1.693 -7.058 3.615
-5.745 1.434 0.110
Ac N O Tb
4 4 4 4
Direct
0.572 0.374 0.050 Ac
0.072 0.626 0.050 Ac
0.928 0.374 0.550 Ac
0.428 0.626 0.550 Ac
0.581 0.347 0.494 N
0.081 0.653 0.494 N
0.919 0.347 0.994 N
0.419 0.653 0.994 N
0.404 0.078 0.143 O
0.904 0.922 0.143 O
0.096 0.078 0.643 O
0.596 0.922 0.643 O
0.094 0.123 0.015 Tb
0.594 0.877 0.015 Tb
0.406 0.123 0.515 Tb
0.906 0.877 0.515 Tb
```

Properties
Size of the total moment (μB/cell): 1.07
Excess energy over the best structure of this formula in the dataset (meV per atom): 81

---

The following is a DFT calculation (PBE) of a relaxed YTmAg crystal.

The structure in POSCAR format:
```
YTmAg
1.0
0.000 3.445 3.445
3.445 0.000 3.445
3.445 3.445 0.000
Ag Tm Y
1 1 1
Direct
0.250 0.250 0.250 Ag
0.000 0.000 0.000 Tm
0.750 0.750 0.750 Y
```

Properties
Size of the total moment (μB/cell): 0.00

---

The following is a DFT calculation (PBE) of a relaxed NaLi2Zn crystal.

The structure in POSCAR format:
```
NaLi2Zn
1.0
-1.094 -4.658 -0.440
-3.193 -2.009 2.975
-4.322 -1.308 -1.642
Li Na Zn
2 1 1
Direct
0.000 0.000 0.000 Li
0.750 0.750 0.750 Li
0.250 0.250 0.250 Na
0.500 0.500 0.500 Zn
```

---

The following is a DFT calculation (PBE) of a relaxed Tb3Ga8Ir3 crystal.

The structure in POSCAR format:
```
Tb3Ga8Ir3
1.0
6.718 -1.562 -4.403
5.568 1.321 5.849
-5.941 -4.609 -3.228
Ga Ir Tb
8 3 3
Direct
0.298 0.169 0.129 Ga
0.960 0.831 0.129 Ga
0.592 0.376 0.216 Ga
0.840 0.624 0.216 Ga
0.160 0.376 0.784 Ga
0.408 0.624 0.784 Ga
0.040 0.169 0.871 Ga
0.702 0.831 0.871 Ga
0.500 0.500 0.000 Ir
0.280 0.000 0.280 Ir
0.720 0.000 0.720 Ir
0.671 0.171 0.500 Tb
0.000 0.500 0.500 Tb
0.329 0.829 0.500 Tb
```

Properties
Size of the total moment (μB/cell): 0.01

---

The following is a DFT calculation (PBE) of a relaxed Ta2NbSn2 crystal.

The structure in POSCAR format:
```
Ta2NbSn2
1.0
-1.925 1.925 7.276
1.925 -1.925 7.276
1.925 1.925 -7.276
Nb Sn Ta
1 2 2
Direct
0.000 0.000 0.000 Nb
0.750 0.250 0.500 Sn
0.250 0.750 0.500 Sn
0.406 0.406 0.000 Ta
0.594 0.594 0.000 Ta
```

Properties
Size of the total moment (μB/cell): 0.00
Excess energy over the best structure of this formula in the dataset (meV per atom): 147

---

It is found that the VASP energy values, taken in the order of the records, are -6.04 -7.45 -4.04 -1.56 -5.29 -7.76 eV per atom.